Below is Ti4Tc5W after structural relaxation, with properties calculated at the GGA-PBE level.

```
Ti4Tc5W
1.0
-2.810 1.179 -0.623
-0.225 -1.852 -2.489
-6.581 -11.035 8.804
Ti Tc W
4 5 1
Cartesian
-1.334 -2.238 1.785
-2.633 -4.416 3.523
-3.947 -6.619 5.281
-5.246 -8.797 7.019
-2.171 -1.432 -0.682
-3.490 -3.645 1.084
-4.808 -5.854 2.846
-6.125 -8.063 4.608
-7.444 -10.276 6.374
0.000 0.000 0.000
```

Computed properties:
- energy (eV for the cell shown) = -100.8

=====

Below is TiTc3W2 after structural relaxation, with properties calculated at the GGA-PBE level.

```
TiTc3W2
1.0
3.117 0.000 0.000
0.000 3.117 0.000
0.000 0.000 9.418
Ti Tc W
1 3 2
Cartesian
1.558 1.558 4.709
0.000 0.000 0.000
0.000 0.000 6.279
0.000 0.000 3.139
1.558 1.558 7.799
1.558 1.558 1.619
```

Computed properties:
- E above lowest polymorph (eV per atom) = 0.0084

=====

Below is TiTc4W2 after structural relaxation, with properties calculated at the GGA-PBE level.

```
TiTc4W2
1.0
-4.114 1.135 3.167
0.569 -5.276 -0.298
4.403 2.201 2.004
Ti Tc W
1 4 2
Cartesian
0.000 0.000 0.000
-2.057 0.567 1.583
0.429 -0.970 2.436
2.201 1.101 1.002
0.285 -2.638 -0.149
-1.772 -2.071 1.435
0.144 1.668 2.585
```

Computed properties:
- energy (eV for the cell shown) = -73.7

=====

Below is Ti3TcW after structural relaxation, with properties calculated at the GGA-PBE level.

```
Ti3TcW
1.0
-3.863 -0.946 2.174
-0.803 -3.370 -2.893
5.790 -4.456 3.585
Ti Tc W
6 2 2
Cartesian
-0.032 -3.584 1.759
1.449 -5.474 3.552
1.521 -4.828 -0.745
-2.879 -2.888 1.738
-1.325 -4.132 -0.765
2.984 -6.696 1.029
-3.970 -3.688 -0.547
2.612 -4.026 1.541
-1.594 -1.585 -0.135
0.237 -6.129 1.130
```

Computed properties:
- E above lowest polymorph (eV per atom) = 0.0000

=====

Below is Ti3TcW after structural relaxation, with properties calculated at the GGA-PBE level.

```
Ti3TcW
1.0
-2.657 3.685 -0.562
-3.244 -1.945 2.578
1.837 1.895 3.740
Tc W Ti
1 1 3
Cartesian
0.000 0.000 0.000
-2.032 1.817 2.878
-1.622 -0.973 1.289
0.919 0.947 1.870
-1.328 1.843 -0.281
```

Computed properties:
- E above lowest polymorph (eV per atom) = 1.1438

=====

Below is TiTcW4 after structural relaxation, with properties calculated at the GGA-PBE level.

```
TiTcW4
1.0
-0.787 -4.195 -1.351
4.184 -3.167 -0.023
0.317 -3.659 3.757
Ti Tc W
1 1 4
Cartesian
2.251 -3.413 1.867
0.000 0.000 0.000
-0.294 -5.240 1.605
4.008 -5.780 0.778
1.605 -4.984 -0.296
2.109 -6.037 2.679
```

Computed properties:
- energy (eV for the cell shown) = -70.9

=====

Below is Ti2Tc4W5 after structural relaxation, with properties calculated at the GGA-PBE level.

```
Ti2Tc4W5
1.0
2.551 0.000 -0.453
-0.110 7.902 -0.616
0.296 0.720 9.067
Ti Tc W
2 4 5
Cartesian
1.591 4.051 1.550
1.146 4.571 6.448
0.391 1.496 2.198
2.810 3.294 8.410
2.346 7.126 5.800
-0.073 5.329 -0.413
2.424 1.837 6.240
0.312 6.786 1.758
1.981 5.632 3.747
1.275 0.000 -0.227
0.755 2.991 4.251
```

Computed properties:
- energy (eV for the cell shown) = -117.5

=====

Below is TiTc2W2 after structural relaxation, with properties calculated at the GGA-PBE level.

```
TiTc2W2
1.0
-1.867 3.454 1.899
-3.607 0.345 -4.173
-1.906 -5.727 3.534
Ti Tc W
2 4 4
Cartesian
-2.769 3.541 0.856
-2.705 0.259 -3.130
-5.321 -2.909 0.061
-3.518 -3.082 2.147
-2.059 0.982 1.199
-3.862 1.154 -0.888
-3.123 -1.398 -0.527
-6.061 -0.357 -0.300
-4.257 -0.529 1.787
-1.320 -1.571 1.559
```

Computed properties:
- energy (eV for the cell shown) = -110.2

=====

Below is Ti2TcW after structural relaxation, with properties calculated at the GGA-PBE level.

```
Ti2TcW
1.0
-3.009 0.873 0.222
-0.460 -2.509 3.638
1.188 3.453 2.532
Tc W Ti
1 1 2
Cartesian
-1.140 0.908 3.196
-1.505 0.436 0.111
0.594 1.726 1.266
-0.230 -1.255 1.819
```

Computed properties:
- energy (eV for the cell shown) = -39.8

=====

Below is TiTc3W2 after structural relaxation, with properties calculated at the GGA-PBE level.

```
TiTc3W2
1.0
-1.738 -2.072 1.546
-0.911 -2.073 -3.803
5.790 -2.821 2.727
Ti Tc W
1 3 2
Cartesian
0.000 0.000 0.000
-1.325 -2.073 -1.129
2.228 -4.642 -0.579
0.912 -2.324 1.048
3.564 -2.577 0.551
1.315 -2.317 -1.628
```

Computed properties:
- E above lowest polymorph (eV per atom) = 0.0000

=====

Below is Ti2TcW after structural relaxation, with properties calculated at the GGA-PBE level.

```
Ti2TcW
1.0
-1.821 -3.733 -1.558
2.396 -0.602 -1.358
2.607 -2.729 3.493
Ti Tc W
2 1 1
Cartesian
0.774 -0.702 0.295
3.535 -5.044 1.157
3.235 -2.353 1.376
1.165 -3.432 0.064
```

Computed properties:
- energy (eV for the cell shown) = -39.9

=====

Below is Ti2TcW after structural relaxation, with properties calculated at the GGA-PBE level.

```
Ti2TcW
1.0
-4.254 5.545 0.748
-1.537 -0.255 -6.854
-4.951 0.997 -2.530
Tc W Ti
2 2 4
Cartesian
-2.896 2.645 -3.053
-4.692 1.694 -6.218
0.000 0.000 0.000
-6.050 4.594 -2.417
-4.021 3.595 -1.034
-2.798 0.872 -4.811
-5.910 2.728 -4.297
-8.756 5.381 -7.130
```

Computed properties:
- energy (eV for the cell shown) = -74.8

=====

Below is TiTc4W3 after structural relaxation, with properties calculated at the GGA-PBE level.

```
TiTc4W3
1.0
3.115 0.000 0.000
0.000 4.431 0.000
0.000 0.000 8.863
Tc W Ti
4 3 1
Cartesian
0.000 0.000 4.432
0.000 2.215 6.646
0.000 0.000 0.000
0.000 2.215 2.218
1.557 0.000 2.193
1.557 2.215 4.432
1.557 0.000 6.670
1.557 2.215 0.000
```

Computed properties:
- energy (eV for the cell shown) = -89.5

=====

Below is TiTc2W6 after structural relaxation, with properties calculated at the GGA-PBE level.

```
TiTc2W6
1.0
-0.513 -1.373 2.789
2.241 -4.761 -0.152
8.328 1.262 3.931
Ti Tc W
1 2 6
Cartesian
0.000 0.000 0.000
1.910 -0.711 1.781
8.146 -4.161 4.789
1.821 -3.404 2.219
8.235 -1.469 4.350
6.204 -3.470 2.992
4.248 -2.748 1.208
5.808 -2.124 5.361
3.852 -1.402 3.577
```

Computed properties:
- energy (eV for the cell shown) = -107.2

=====

Below is Ti2Tc3W2 after structural relaxation, with properties calculated at the GGA-PBE level.

```
Ti2Tc3W2
1.0
4.442 0.000 0.589
0.000 2.620 0.000
0.987 0.000 9.589
Ti Tc W
2 3 2
Cartesian
3.377 1.310 8.611
2.052 1.310 1.568
4.076 0.000 3.343
0.000 0.000 0.000
1.353 0.000 6.835
3.724 1.310 5.995
1.705 1.310 4.183
```

Computed properties:
- energy (eV for the cell shown) = -71.4

=====

Below is TiTcW14 after structural relaxation, with properties calculated at the GGA-PBE level.

```
TiTcW14
1.0
5.495 0.187 0.000
-1.981 5.129 0.000
0.000 0.000 8.985
Ti Tc W
1 1 14
Cartesian
2.691 2.040 4.492
-1.047 4.511 4.492
-1.047 4.511 0.000
2.691 2.040 0.000
-0.056 1.947 4.492
-0.056 1.947 0.000
1.701 4.605 4.492
1.701 4.604 0.000
1.813 0.711 6.740
1.813 0.711 2.245
3.570 3.370 6.740
3.570 3.370 2.245
0.829 3.271 6.724
0.829 3.271 2.261
4.553 0.809 6.723
4.553 0.809 2.261
```

Computed properties:
- energy (eV for the cell shown) = -200.2

=====

Below is Ti3Tc4W after structural relaxation, with properties calculated at the GGA-PBE level.

```
Ti3Tc4W
1.0
3.114 0.000 0.000
0.000 4.407 0.000
0.000 0.000 8.788
Tc W Ti
4 1 3
Cartesian
0.000 0.000 4.394
0.000 2.203 6.621
0.000 0.000 0.000
0.000 2.203 2.168
1.557 2.203 0.000
1.557 0.000 2.226
1.557 2.203 4.394
1.557 0.000 6.562
```

Computed properties:
- energy (eV for the cell shown) = -81.7

=====

Below is Ti2TcW6 after structural relaxation, with properties calculated at the GGA-PBE level.

```
Ti2TcW6
1.0
4.390 -0.361 -0.881
-0.402 3.947 -3.617
-0.423 -0.529 9.558
Ti Tc W
2 1 6
Cartesian
3.480 0.404 5.722
0.085 2.653 -0.661
3.967 -0.890 8.677
2.904 -0.157 3.085
0.661 3.214 1.975
0.905 1.418 3.926
1.648 0.257 8.119
1.917 2.800 -3.059
2.660 1.639 1.134
```

Computed properties:
- energy (eV for the cell shown) = -100.3

=====

Below is Ti6Tc5W after structural relaxation, with properties calculated at the GGA-PBE level.

```
Ti6Tc5W
1.0
-3.382 -2.143 -1.860
3.947 -4.283 -2.243
0.936 -2.499 6.419
Tc W Ti
5 1 6
Cartesian
0.030 -4.408 -0.213
3.440 -6.682 1.445
1.974 -2.142 -1.121
-1.939 -2.243 0.871
1.471 -4.517 2.530
0.000 0.000 0.000
0.758 -6.637 1.029
-1.195 -4.518 2.139
0.251 -4.662 4.918
1.250 -4.263 -2.601
2.696 -4.407 0.178
0.743 -2.288 1.288
```

Computed properties:
- energy (eV for the cell shown) = -116.9

=====

Below is TiZn2TcW after structural relaxation, with properties calculated at the GGA-PBE level.

```
TiZn2TcW
1.0
4.800 0.000 0.000
0.000 4.577 0.000
0.000 0.000 4.800
Zn Tc W Ti
2 1 1 1
Cartesian
0.000 0.000 2.400
2.400 0.000 0.000
0.000 2.289 0.000
0.000 0.000 0.000
2.400 2.289 2.400
```

Computed properties:
- energy (eV for the cell shown) = -27.1

=====

Below is Y3TiTc after structural relaxation, with properties calculated at the GGA-PBE level.

```
Y3TiTc
1.0
-0.168 -5.205 -0.416
-0.005 -0.416 5.207
-5.221 0.168 0.008
Y Tc Ti
3 1 1
Cartesian
-0.003 -0.208 2.604
-2.611 0.084 0.004
-0.084 -2.602 -0.208
-2.697 -2.727 2.399
0.000 0.000 0.000
```

Computed properties:
- E above lowest polymorph (eV per atom) = 0.6522

=====

Below is Y3TiTc after structural relaxation, with properties calculated at the GGA-PBE level.

```
Y3TiTc
1.0
5.292 0.000 0.000
0.000 5.292 0.000
0.000 0.000 5.292
Y Tc Ti
3 1 1
Cartesian
0.000 2.646 0.000
0.000 0.000 2.646
2.646 0.000 0.000
0.000 0.000 0.000
2.646 2.646 2.646
```

Computed properties:
- E above lowest polymorph (eV per atom) = 0.0000

=====

Below is YTiTc after structural relaxation, with properties calculated at the GGA-PBE level.

```
YTiTc
1.0
3.316 0.000 0.000
0.000 3.316 0.000
-1.658 -1.658 5.494
Y Tc Ti
1 1 1
Cartesian
0.000 0.000 0.145
1.658 1.658 2.098
0.000 0.000 3.251
```

Computed properties:
- energy (eV for the cell shown) = -25.1

=====

Below is YTi2Tc after structural relaxation, with properties calculated at the GGA-PBE level.

```
YTi2Tc
1.0
4.534 0.000 0.000
0.000 4.534 0.000
2.267 2.267 9.014
Y Tc Ti
2 2 4
Cartesian
2.267 2.267 0.000
2.267 4.534 4.507
0.000 0.000 0.000
4.534 2.267 4.507
4.348 1.134 2.254
4.721 3.401 2.254
3.401 2.454 6.761
5.668 2.081 6.761
```

Computed properties:
- E above lowest polymorph (eV per atom) = 0.8537

=====

Below is YTi2Tc after structural relaxation, with properties calculated at the GGA-PBE level.

```
YTi2Tc
1.0
-2.341 1.591 -1.470
-2.121 -2.121 1.083
-1.051 4.258 6.281
Y Tc Ti
1 1 2
Cartesian
-2.757 1.864 2.947
-2.231 -0.265 -0.194
-0.857 3.472 5.122
-0.194 0.786 1.159
```

Computed properties:
- E above lowest polymorph (eV per atom) = 0.0000

=====

no.,magnetic moment (μB per formula unit)
1,0.00
2,0.00
3,0.00
4,0.00
5,0.00
6,0.00
7,0.00
8,0.00
9,0.00
10,0.00
11,0.00
12,0.00
13,0.00
14,0.00
15,0.00
16,0.00
17,0.00
18,0.00
19,0.00
20,0.00
21,3.26
22,2.15
23,0.00
24,0.00
25,0.00